Compound: Cd3Ag2Au
Source: Alexandria
Functional: PBE
Structure: optimized geometry

a b c (Å): 5.8352 5.3988 7.9648
angles (deg): 94.11 111.49 90.00
Fractional coordinates of all 12 atoms:
Cd (0.6324, 0.2500, 0.0000)
Cd (0.3676, 0.7500, 0.0000)
Cd (0.0428, 0.0806, 0.3315)
Cd (0.7113, 0.4194, 0.6685)
Cd (0.2887, 0.5806, 0.3315)
Cd (0.9572, 0.9194, 0.6685)
Ag (0.7908, 0.5844, 0.3367)
Ag (0.5459, 0.0844, 0.3367)
Ag (0.4541, 0.9156, 0.6633)
Ag (0.2092, 0.4156, 0.6633)
Au (0.8632, 0.7500, 0.0000)
Au (0.1368, 0.2500, 0.0000)

Calculated values
Energy relative to the lowest polymorph listed for this composition: 0.007 eV per atom
Energy of formation from the pure elements: -8.3 kJ per mole of atoms

***

Compound: ZnCuIr2
Source: Alexandria
Functional: PBE
Structure: optimized geometry

a b c (Å): 4.7243 5.1567 2.7109
angles (deg): 75.74 87.93 116.65
Fractional coordinates of all 4 atoms:
Cu (0.5000, 0.5000, 0.0000)
Ir (0.0000, 0.0000, 0.0000)
Ir (0.5000, 0.0000, 0.5000)
Zn (0.0000, 0.5000, 0.5000)

Calculated values
Energy of formation from the pure elements: 4.1 kJ per mole of atoms

***

Compound: Fe2ReOs
Source: Alexandria
Functional: PBE
Structure: optimized geometry

a b c (Å): 4.5196 4.5196 4.5347
angles (deg): 80.78 80.78 34.04
Fractional coordinates of all 4 atoms:
Fe (0.0000, 0.0000, 0.9923)
Fe (0.7504, 0.7504, 0.7530)
Os (0.4966, 0.4966, 0.5198)
Re (0.2530, 0.2530, 0.2349)

Calculated values
Energy of formation from the pure elements: 11.8 kJ per mole of atoms

***

Compound: Li2NdScS4
Source: Alexandria
Functional: PBE
Structure: optimized geometry

a b c (Å): 3.8850 6.7361 6.5525
angles (deg): 110.06 90.00 90.00
Fractional coordinates of all 8 atoms:
Li (0.5000, 0.0000, 0.5000)
Li (0.0000, 0.5000, 0.5000)
Nd (0.5000, 0.5000, 0.0000)
Sc (0.0000, 0.0000, 0.0000)
S (0.5000, 0.2304, 0.2441)
S (0.5000, 0.7696, 0.7559)
S (0.0000, 0.2284, 0.7472)
S (0.0000, 0.7716, 0.2528)

Calculated values
Formation energy without anion corrections: -1.745 eV per atom

***

Compound: Sn2HgSe2
Source: Alexandria
Functional: PBE
Structure: optimized geometry

a b c (Å): 5.1249 5.1249 7.2211
angles (deg): 69.22 69.22 90.00
Fractional coordinates of all 5 atoms:
Hg (0.0000, 0.0000, 0.0000)
Se (0.7500, 0.2500, 0.5000)
Se (0.2500, 0.7500, 0.5000)
Sn (0.3529, 0.3529, 0.2942)
Sn (0.6471, 0.6471, 0.7058)

Calculated values
Energy relative to the lowest polymorph listed for this composition: 0.033 eV per atom
Formation energy without anion corrections: -0.224 eV per atom

***

Compound: Li4Pu3AgS8
Source: Alexandria
Functional: PBE
Structure: optimized geometry

a b c (Å): 7.7795 7.5961 7.7900
angles (deg): 120.62 119.96 90.00
Fractional coordinates of all 16 atoms:
Li (0.5000, 0.0000, 0.0000)
Li (0.5000, 0.0000, 0.5000)
Li (0.0000, 0.0000, 0.0000)
Li (0.0000, 0.0000, 0.5000)
Pu (0.5000, 0.5000, 0.0000)
Pu (0.5000, 0.5000, 0.5000)
Pu (0.0000, 0.5000, 0.5000)
Ag (0.0000, 0.5000, 0.0000)
S (0.2557, 0.7529, 0.9980)
S (0.2550, 0.7484, 0.5100)
S (0.2473, 0.2435, 0.4946)
S (0.7423, 0.7529, 0.9980)
S (0.2577, 0.2471, 0.0020)
S (0.7527, 0.7565, 0.5054)
S (0.7450, 0.2516, 0.4900)
S (0.7443, 0.2471, 0.0020)

Calculated values
Formation energy without anion corrections: -1.269 eV per atom

***

Compound: NaCa5Hg6
Source: Alexandria
Functional: PBE
Structure: optimized geometry

a b c (Å): 5.3885 7.4541 8.4944
angles (deg): 90.00 108.19 90.00
Fractional coordinates of all 12 atoms:
Na (0.0000, 0.0000, 0.0000)
Ca (0.6677, 0.5000, 0.3357)
Ca (0.3357, 0.0000, 0.6712)
Ca (0.0000, 0.5000, 0.0000)
Ca (0.6643, 0.0000, 0.3288)
Ca (0.3323, 0.5000, 0.6643)
Hg (0.8329, 0.7517, 0.6655)
Hg (0.8329, 0.2483, 0.6655)
Hg (0.5000, 0.2540, 0.0000)
Hg (0.5000, 0.7460, 0.0000)
Hg (0.1671, 0.7517, 0.3345)
Hg (0.1671, 0.2483, 0.3345)

Calculated values
Energy of formation from the pure elements: -47.1 kJ per mole of atoms

***

Compound: MnAgHg2
Source: Alexandria
Functional: PBE
Structure: optimized geometry

a b c (Å): 4.2276 4.2276 10.3262
angles (deg): 78.19 78.19 90.00
Fractional coordinates of all 8 atoms:
Mn (0.5000, 0.5000, 0.0000)
Mn (0.2500, 0.7500, 0.5000)
Hg (0.6237, 0.1250, 0.2500)
Hg (0.1263, 0.6250, 0.2500)
Hg (0.3750, 0.3763, 0.7500)
Hg (0.8750, 0.8737, 0.7500)
Ag (0.0000, 0.0000, 0.0000)
Ag (0.7500, 0.2500, 0.5000)

Calculated values
Energy of formation from the pure elements: 37.2 kJ per mole of atoms

***

Compound: Mg3AlBi
Source: Alexandria
Functional: PBE
Structure: optimized geometry

a b c (Å): 5.5162 5.5162 5.5162
angles (deg): 90.00 90.00 90.00
Fractional coordinates of all 5 atoms:
Mg (0.0000, 0.5000, 0.0000)
Mg (0.0000, 0.0000, 0.5000)
Mg (0.5000, 0.0000, 0.0000)
Bi (0.0000, 0.0000, 0.0000)
Al (0.5000, 0.5000, 0.5000)

Calculated values
Energy relative to the lowest polymorph listed for this composition: 0.289 eV per atom
Energy of formation from the pure elements: 57.3 kJ per mole of atoms

***

Compound: ReP2Se
Source: Alexandria
Functional: PBE
Structure: optimized geometry

a b c (Å): 5.9020 5.9020 5.9020
angles (deg): 150.58 134.91 54.75
Fractional coordinates of all 4 atoms:
P (0.9337, 0.9337, 0.0000)
P (0.5663, 0.5663, 0.0000)
Re (0.7500, 0.2500, 0.5000)
Se (0.2500, 0.7500, 0.5000)

Calculated values
Formation energy without anion corrections: 0.507 eV per atom

***

Compound: Dy2Er3Th
Source: Alexandria
Functional: PBE
Structure: optimized geometry

a b c (Å): 5.0093 6.1226 18.3825
angles (deg): 48.17 82.17 65.85
Fractional coordinates of all 12 atoms:
Dy (0.8752, 0.3770, 0.8726)
Dy (0.1248, 0.6230, 0.1274)
Dy (0.6287, 0.1158, 0.6268)
Dy (0.3713, 0.8842, 0.3732)
Er (0.1240, 0.9606, 0.7914)
Er (0.8760, 0.0394, 0.2086)
Er (0.6239, 0.7947, 0.9576)
Er (0.3761, 0.2053, 0.0424)
Er (0.8735, 0.7099, 0.5432)
Er (0.1265, 0.2901, 0.4568)
Th (0.3761, 0.5387, 0.7091)
Th (0.6239, 0.4613, 0.2909)

Calculated values
Energy of formation from the pure elements: 3.3 kJ per mole of atoms

***

Compound: Tb16Nd7Er6
Source: Alexandria
Functional: PBE
Structure: optimized geometry

a b c (Å): 11.2192 11.2192 11.2192
angles (deg): 60.00 60.00 60.00
Fractional coordinates of all 29 atoms:
Tb (0.8730, 0.8730, 0.3811)
Tb (0.8730, 0.8730, 0.8730)
Tb (0.8730, 0.3811, 0.8730)
Tb (0.3811, 0.8730, 0.8730)
Tb (0.1270, 0.1270, 0.1270)
Tb (0.1270, 0.1270, 0.6189)
Tb (0.1270, 0.6189, 0.1270)
Tb (0.6189, 0.1270, 0.1270)
Tb (0.6503, 0.6503, 0.0491)
Tb (0.6503, 0.6503, 0.6503)
Tb (0.6503, 0.0491, 0.6503)
Tb (0.0491, 0.6503, 0.6503)
Tb (0.3497, 0.3497, 0.3497)
Tb (0.3497, 0.3497, 0.9509)
Tb (0.3497, 0.9509, 0.3497)
Tb (0.9509, 0.3497, 0.3497)
Nd (0.0000, 0.0000, 0.0000)
Nd (0.5000, 0.0000, 0.5000)
Nd (0.0000, 0.5000, 0.0000)
Nd (0.0000, 0.5000, 0.5000)
Nd (0.5000, 0.0000, 0.0000)
Nd (0.0000, 0.0000, 0.5000)
Nd (0.5000, 0.5000, 0.0000)
Er (0.2619, 0.7381, 0.2619)
Er (0.7381, 0.2619, 0.7381)
Er (0.7381, 0.2619, 0.2619)
Er (0.2619, 0.7381, 0.7381)
Er (0.7381, 0.7381, 0.2619)
Er (0.2619, 0.2619, 0.7381)

Calculated values
Energy of formation from the pure elements: 25.0 kJ per mole of atoms

***

Compound: Rb2BaAu
Source: Alexandria
Functional: PBE
Structure: optimized geometry

a b c (Å): 12.0610 12.0610 9.1458
angles (deg): 48.75 48.75 90.00
Fractional coordinates of all 8 atoms:
Au (0.0000, 0.0000, 0.0000)
Au (0.7500, 0.2500, 0.5000)
Ba (0.5000, 0.5000, 0.0000)
Ba (0.2500, 0.7500, 0.5000)
Rb (0.7385, 0.1250, 0.2500)
Rb (0.0115, 0.6250, 0.2500)
Rb (0.3750, 0.2615, 0.7500)
Rb (0.8750, 0.9885, 0.7500)

Calculated values
Energy relative to the lowest polymorph listed for this composition: 0.238 eV per atom
Energy of formation from the pure elements: -8.4 kJ per mole of atoms

***

Compound: CaThGaAu
Source: Alexandria
Functional: PBE
Structure: optimized geometry

a b c (Å): 5.2155 5.2155 5.2155
angles (deg): 60.00 60.00 60.00
Fractional coordinates of all 4 atoms:
Ca (0.2500, 0.2500, 0.2500)
Au (0.0000, 0.0000, 0.0000)
Ga (0.5000, 0.5000, 0.5000)
Th (0.7500, 0.7500, 0.7500)

Calculated values
Energy of formation from the pure elements: -52.5 kJ per mole of atoms

***

Compound: Sc2InSe
Source: Alexandria
Functional: PBE
Structure: optimized geometry

a b c (Å): 5.0561 5.0561 5.0561
angles (deg): 60.00 60.00 60.00
Fractional coordinates of all 4 atoms:
In (0.5000, 0.5000, 0.5000)
Sc (0.0000, 0.0000, 0.0000)
Sc (0.2500, 0.2500, 0.2500)
Se (0.7500, 0.7500, 0.7500)

Calculated values
Energy relative to the lowest polymorph listed for this composition: 0.927 eV per atom
Formation energy without anion corrections: -0.060 eV per atom

***

| no. | raw total energy (eV for the cell shown) | mass density (Mg/m³) |
| --- | --- | --- |
| 1 | -24.49 | 10.70 |
| 2 | -22.92 | 15.12 |
| 3 | -40.11 | 15.86 |
| 4 | -45.39 | 3.42 |
| 5 | -16.40 | 6.03 |
| 6 | -106.82 | 5.79 |
| 7 | -18.99 | 7.31 |
| 8 | -22.17 | 10.60 |
| 9 | -9.44 | 3.06 |
| 10 | -24.72 | 7.64 |
| 11 | -60.21 | 9.36 |
| 12 | -127.33 | 7.58 |
| 13 | -14.97 | 3.49 |
| 14 | -17.90 | 8.92 |
| 15 | -19.13 | 5.15 |